! Sr2Cu2TeSeF2 (PBE, optimized geometry); values from VASP
! **Electronic total energy**: -4.62 eV/atom
&SYSTEM
  ibrav = 0, nat = 8, ntyp = 5
/
ATOMIC_SPECIES
Se 78.96 Se.upf
Cu 63.55 Cu.upf
F 19.00 F.upf
Te 127.60 Te.upf
Sr 87.62 Sr.upf
ATOMIC_POSITIONS angstrom
Se 2.344 -6.197 4.305
Cu 4.830 -6.018 4.694
Cu 2.765 -5.426 6.670
F 0.584 -3.247 3.738
F 2.649 -3.839 1.762
Te 0.781 -0.780 1.049
Sr 0.199 -4.053 1.422
Sr 3.049 -3.047 4.098
CELL_PARAMETERS angstrom
-3.485 -1.844 1.222
0.644 -3.028 -2.730
4.576 -4.573 6.151